Below is crystalline GdZnInTe3 at its relaxed geometry, with properties calculated at the GGA-PBE level.

Output
The space group is No. 62. For the density, the calculation gives 6.5 g/cm3. For the calculated total energy, the calculation gives -3.75 eV per atom. For the energy above the most stable polymorph in this dataset, the calculation gives 0.049 eV per atom.

Cell lengths 12.5384, 4.5102, 13.0778 Å; angles 90.00, 90.00, 90.00 degrees
With the nearest neighbours (Å) after each atom.
Element x y z (fractional)
Te: 0.5987 0.0000 0.0622  1 Zn 2.67
Te: 0.2782 0.0000 0.6897  2 Zn 2.72
Te: 0.7218 0.5000 0.3103  2 Zn 2.72
Te: 0.5375 0.5000 0.6477  1 Zn 2.66
Te: 0.9625 0.0000 0.1477  1 Zn 2.66
Te: 0.0987 0.0000 0.4378  1 Zn 2.67
Te: 0.0375 0.5000 0.8523  1 Zn 2.66
Te: 0.4013 0.5000 0.9378  1 Zn 2.67
Te: 0.2218 0.5000 0.1897  2 Zn 2.72
Te: 0.9013 0.5000 0.5622  1 Zn 2.67
Te: 0.7782 0.0000 0.8103  2 Zn 2.72
Te: 0.4625 0.0000 0.3523  1 Zn 2.66
Zn: 0.2427 0.5000 0.8011  4 Te 2.66-2.72
Zn: 0.7427 0.5000 0.6989  4 Te 2.66-2.72
Zn: 0.2573 0.0000 0.3011  4 Te 2.66-2.72
Zn: 0.7573 0.0000 0.1989  4 Te 2.66-2.72
In: 0.6817 0.0000 0.5064  7 Te 3.41-3.63, 2 Zn 3.46
In: 0.3183 0.5000 0.4936  7 Te 3.41-3.63, 2 Zn 3.46
In: 0.8183 0.5000 0.0064  7 Te 3.41-3.63, 2 Zn 3.46
In: 0.1817 0.0000 0.9936  7 Te 3.41-3.63, 2 Zn 3.46
Gd: 0.5246 0.0000 0.8168  7 Te 3.16-3.51
Gd: 0.9754 0.5000 0.3168  7 Te 3.16-3.51
Gd: 0.0246 0.0000 0.6832  7 Te 3.16-3.51
Gd: 0.4754 0.5000 0.1832  7 Te 3.16-3.51